A plane-wave DFT calculation with PBE-GGA was carried out for crystalline Na3Pu3PtS8 at its relaxed geometry.

DFT total energy = -6.99 eV per atom
formation energy (no corrections) = -1.2547 eV/atom

```
15
Lattice="7.847 0.000 0.000 -3.924 6.798 -0.025 0.000 -4.509 6.733" Properties=species:S:1:pos:R:3 pbc="T T T"
S 2.144 3.522 4.754
S 3.924 2.491 1.943
S 0.000 -0.202 4.766
S 3.924 0.018 4.877
S 6.068 -1.233 1.954
S 1.779 -1.233 1.954
S -2.144 3.522 4.754
S 0.000 2.271 1.831
Na 0.000 0.000 0.000
Na -1.962 3.399 -0.012
Na 1.962 3.399 -0.012
Pu -1.962 1.145 3.354
Pu 3.924 -2.254 3.367
Pu 1.962 1.145 3.354
Pt 0.000 -2.254 3.367
```

---

A plane-wave DFT calculation with PBE-GGA was carried out for crystalline NaPuSi2Pt2 at its relaxed geometry.

DFT total energy = -7.04 eV per atom
formation energy (no corrections) = -0.6140 eV/atom

```
6
Lattice="4.129 0.000 0.000 -2.065 3.576 0.000 0.000 0.000 8.442" Properties=species:S:1:pos:R:3 pbc="T T T"
Pt 2.065 1.192 1.976
Pt 0.000 2.384 6.467
Na 0.000 0.000 4.221
Pu 0.000 0.000 0.000
Si 2.065 1.192 6.382
Si 0.000 2.384 2.060
```

---

A plane-wave DFT calculation with PBE-GGA was carried out for crystalline NaPuZnPt at its relaxed geometry.

energy relative to the elements = -180.6 meV per atom
DFT total energy = -5.92 eV per atom

```
4
Lattice="-0.475 -4.561 -1.803 3.984 -2.487 -1.491 1.612 -3.859 2.605" Properties=species:S:1:pos:R:3 pbc="T T T"
Pu 2.560 -5.454 -0.345
Na 0.000 0.000 0.000
Zn 3.841 -8.180 -0.517
Pt 1.280 -2.727 -0.172
```

---

A plane-wave DFT calculation with PBE-GGA was carried out for crystalline Rb2Na4Pt at its relaxed geometry.

energy relative to the elements = 43.2 meV per atom
DFT total energy = -1.85 eV per atom

```
7
Lattice="5.702 0.000 0.000 0.000 5.702 0.000 2.851 2.851 9.856" Properties=species:S:1:pos:R:3 pbc="T T T"
Na 2.851 0.000 0.000
Na 5.702 5.702 2.787
Na 2.851 2.851 7.069
Na 0.000 2.851 0.000
Rb 5.702 5.702 6.948
Rb 2.851 2.851 2.908
Pt 0.000 0.000 0.000
```

---

A plane-wave DFT calculation with PBE-GGA was carried out for crystalline RbNa2Pt at its relaxed geometry.

energy relative to the elements = 74.8 meV per atom
excess energy over the best structure of this formula in the dataset = 0 meV per atom
DFT total energy = -2.34 eV per atom

```
4
Lattice="0.000 3.775 3.775 3.775 0.000 3.775 3.775 3.775 0.000" Properties=species:S:1:pos:R:3 pbc="T T T"
Na 5.663 5.663 5.663
Na 1.888 1.888 1.888
Pt 3.775 3.775 3.775
Rb 0.000 0.000 0.000
```

---

A plane-wave DFT calculation with PBE-GGA was carried out for crystalline RbNa2Pt at its relaxed geometry.

energy relative to the elements = 192.9 meV per atom
excess energy over the best structure of this formula in the dataset = 118 meV per atom
DFT total energy = -2.22 eV per atom

```
4
Lattice="4.676 0.000 0.000 2.338 4.049 0.000 2.338 1.350 9.427" Properties=species:S:1:pos:R:3 pbc="T T T"
Rb 0.000 0.000 0.000
Na 2.338 1.350 5.663
Na 7.013 4.049 3.764
Pt 4.676 2.699 4.714
```

---

A plane-wave DFT calculation with PBE-GGA was carried out for crystalline RbNaPt at its relaxed geometry.

energy relative to the elements = -16.2 meV per atom
excess energy over the best structure of this formula in the dataset = 0 meV per atom
DFT total energy = -2.79 eV per atom

```
12
Lattice="6.078 0.000 0.000 3.039 4.848 0.000 3.039 0.000 11.950" Properties=species:S:1:pos:R:3 pbc="T T T"
Rb 3.039 3.161 0.000
Rb 6.078 1.686 0.000
Rb 7.598 4.110 5.975
Rb 7.598 0.737 5.975
Na 3.039 0.000 2.372
Na 6.078 0.000 9.579
Na 4.559 2.424 8.347
Na 4.559 2.424 3.603
Pt 6.078 0.000 2.942
Pt 7.598 2.424 3.033
Pt 7.598 2.424 8.918
Pt 3.039 0.000 9.008
```

---

A plane-wave DFT calculation with PBE-GGA was carried out for crystalline Rb3NaPt at its relaxed geometry.

energy relative to the elements = 65.5 meV per atom
excess energy over the best structure of this formula in the dataset = 0 meV per atom
DFT total energy = -1.99 eV per atom

```
5
Lattice="-0.913 -2.528 5.995 -5.320 -3.195 -2.158 3.745 -5.154 -1.603" Properties=species:S:1:pos:R:3 pbc="T T T"
Rb -0.457 -1.264 2.997
Rb -2.660 -1.597 -1.079
Rb 1.873 -2.577 -0.802
Pt 0.000 0.000 0.000
Na -1.244 -5.439 1.117
```

---

A plane-wave DFT calculation with PBE-GGA was carried out for crystalline Rb2Na2Pt at its relaxed geometry.

energy relative to the elements = 107.4 meV per atom
DFT total energy = -2.02 eV per atom

```
10
Lattice="7.839 0.000 0.000 0.000 7.839 0.000 0.000 0.000 6.074" Properties=species:S:1:pos:R:3 pbc="T T T"
Na 2.684 6.603 0.000
Na 1.236 2.684 0.000
Na 6.603 5.156 0.000
Na 5.156 1.236 0.000
Pt 0.000 0.000 0.000
Pt 3.920 3.920 0.000
Rb 5.482 6.278 3.037
Rb 1.562 5.482 3.037
Rb 6.278 2.358 3.037
Rb 2.358 1.562 3.037
```

---

A plane-wave DFT calculation with PBE-GGA was carried out for crystalline RbNa2Pt at its relaxed geometry.

energy relative to the elements = 187.9 meV per atom
excess energy over the best structure of this formula in the dataset = 113 meV per atom
DFT total energy = -2.22 eV per atom

```
8
Lattice="5.057 0.000 0.000 0.000 5.057 0.000 2.529 2.529 10.299" Properties=species:S:1:pos:R:3 pbc="T T T"
Rb 2.529 2.529 0.000
Rb 2.529 5.057 5.149
Pt 0.000 0.000 0.000
Pt 5.057 2.529 5.149
Na 4.265 1.264 2.575
Na 0.793 3.793 2.575
Na 6.322 6.793 7.724
Na 3.793 3.322 7.724
```

---

A plane-wave DFT calculation with PBE-GGA was carried out for crystalline RbNaPt at its relaxed geometry.

energy relative to the elements = 87.4 meV per atom
excess energy over the best structure of this formula in the dataset = 104 meV per atom
DFT total energy = -2.69 eV per atom

```
3
Lattice="-2.805 2.103 -3.296 2.865 -1.728 -3.540 -3.797 -2.622 1.558" Properties=species:S:1:pos:R:3 pbc="T T T"
Pt 0.171 -1.671 -2.397
Na -0.464 0.348 -0.545
Rb -3.444 -0.924 -2.337
```

---

A plane-wave DFT calculation with PBE-GGA was carried out for crystalline RbNaSbPt2 at its relaxed geometry.

DFT total energy = -3.71 eV per atom
formation energy (no corrections) = -0.0146 eV/atom

```
5
Lattice="-3.165 2.633 -3.050 2.499 -2.249 -4.535 -3.330 -3.893 0.095" Properties=species:S:1:pos:R:3 pbc="T T T"
Na 1.250 -1.124 -2.267
Pt -1.582 1.316 -1.525
Pt -1.665 -1.946 0.048
Rb -1.998 -1.754 -3.745
Sb 0.000 0.000 0.000
```

---

Number 1: V 23.9 A^3/atom, total magnetization 14.94 μB/f.u.. Number 2: V 20.8 A^3/atom, total magnetization 5.41 μB/f.u.. Number 3: V 21.1 A^3/atom, total magnetization 5.86 μB/f.u.. Number 4: V 45.8 A^3/atom, total magnetization 0.00 μB/f.u.. Number 5: V 26.9 A^3/atom, total magnetization 0.00 μB/f.u.. Number 6: V 44.6 A^3/atom, total magnetization 0.00 μB/f.u.. Number 7: V 29.3 A^3/atom, total magnetization 0.00 μB/f.u.. Number 8: V 56.7 A^3/atom, total magnetization 0.00 μB/f.u.. Number 9: V 37.3 A^3/atom, total magnetization 0.00 μB/f.u.. Number 10: V 32.9 A^3/atom, total magnetization 0.00 μB/f.u.. Number 11: V 33.0 A^3/atom, total magnetization 0.00 μB/f.u.. Number 12: V 29.6 A^3/atom, total magnetization 0.00 μB/f.u..